Pr2Tm3Pt2: optimized geometry, GGA-PBE.

Results
- DFT formation energy: -794 meV per atom
- Calculated total energy: -5.80 eV per atom
- Density of states at the Fermi level: 7.86 states/eV/cell
- Magnetization: 0.000 μB/f.u.
- Space group: No. 12

a b c (Å): 6.554 6.554 9.095
angles (deg): 116.75 116.75 33.30
Atoms (fractional coordinates):
Pr 0.159 0.159 0.312
Pr 0.841 0.841 0.688
Tm 0.382 0.382 0.062
Tm 0.500 0.500 0.500
Tm 0.618 0.618 0.938
Pt 0.164 0.164 0.743
Pt 0.836 0.836 0.257